This record from Alexandria describes crystalline Y2TeO6 at its relaxed geometry. The functional is PBEsol.

a = 7.618 Å, b = 5.385 Å, c = 11.361 Å
α = 90.00°, β = 104.24°, γ = 90.00°
Space group P2/c (No. 13)
Asymmetric unit:
Y  0.000  0.188  0.250 [2 per cell]
Y  0.287  0.311  0.923 [4 per cell]
Y  0.500  0.244  0.250 [2 per cell]
Te  0.226  0.243  0.615 [4 per cell]
O  0.009  0.128  0.885 [4 per cell]
O  0.138  0.351  0.450 [4 per cell]
O  0.208  0.479  0.226 [4 per cell]
O  0.294  0.049  0.771 [4 per cell]
O  0.348  0.040  0.069 [4 per cell]
O  0.442  0.445  0.606 [4 per cell]

Computed properties:
E_form (uncorrected)   -249.6 kJ/mol of atoms
Electronic total energy   -7.9946 eV per atom
Density of states at the Fermi level   0.0 states/eV/cell